# SmIn4Bi PBE-GGA relaxed
data_SmIn4Bi
_space_group_name_H-M_alt 'F -4 3 m'
_space_group_IT_number 216
_space_group_name_Hall 'F -4 2 3'
_cell_length_a 8.711
_cell_length_b 8.711
_cell_length_c 8.711
_cell_angle_alpha 90.00
_cell_angle_beta 90.00
_cell_angle_gamma 90.00
loop_
_atom_site_label
_atom_site_fract_x
_atom_site_fract_y
_atom_site_fract_z
Sm1 0.000 0.000 0.000
In1 0.125 0.125 0.625
Bi1 0.250 0.250 0.250
# Spin magnetization (μB/cell): 0.0
# Formation energy (eV/atom): -0.125
# Crystal system: cubic
# Total DFT energy (no corrections) (eV for the cell shown): -81.21

# LaTh2Zr PBE-GGA relaxed
data_LaTh2Zr
_space_group_name_H-M_alt 'R 3 m'
_space_group_IT_number 160
_space_group_name_Hall 'R 3 -2"'
_cell_length_a 3.4994
_cell_length_b 3.4994
_cell_length_c 34.2922
_cell_angle_alpha 90.00
_cell_angle_beta 90.00
_cell_angle_gamma 120.00
loop_
_atom_site_label
_atom_site_fract_x
_atom_site_fract_y
_atom_site_fract_z
La1 0.0000 0.0000 0.0000
Th1 0.0000 0.0000 0.5808
Th2 0.0000 0.0000 0.7564
Zr1 0.0000 0.0000 0.1696
# Spin magnetization (μB/cell): 0.0
# Formation energy (eV/atom): 0.116
# Crystal system: trigonal
# Total DFT energy (no corrections) (eV for the cell shown): -83.56

- Which of these has the lowest total DFT energy (no corrections)?
  LaTh2Zr

- Look up the formation energy of the second one.
  0.116 eV/atom

Repeat the second record exactly.
# LaTh2Zr PBE-GGA relaxed
data_LaTh2Zr
_space_group_name_H-M_alt 'R 3 m'
_space_group_IT_number 160
_space_group_name_Hall 'R 3 -2"'
_cell_length_a 3.4994
_cell_length_b 3.4994
_cell_length_c 34.2922
_cell_angle_alpha 90.00
_cell_angle_beta 90.00
_cell_angle_gamma 120.00
loop_
_atom_site_label
_atom_site_fract_x
_atom_site_fract_y
_atom_site_fract_z
La1 0.0000 0.0000 0.0000
Th1 0.0000 0.0000 0.5808
Th2 0.0000 0.0000 0.7564
Zr1 0.0000 0.0000 0.1696
# Spin magnetization (μB/cell): 0.0
# Formation energy (eV/atom): 0.116
# Crystal system: trigonal
# Total DFT energy (no corrections) (eV for the cell shown): -83.56

- Among the records above, which one has the highest total DFT energy (no corrections)?
  SmIn4Bi